## Tl2CdCl (PBE)

Data for a geometry-optimized Tl2CdCl structure.

```
Tl2CdCl
1.0
-0.615 -3.428 -0.819
2.743 0.438 2.255
-6.095 -0.711 7.555
Cl Tl Cd
1 2 1
direct
0.500 0.500 0.719
0.000 0.000 0.981
0.500 0.500 0.277
0.000 0.000 0.523
```

Calculated values
Symmetry: Cmm2, No. 35
E: -2.184 eV/atom
E_form (uncorrected): -7.2 kcal/mol of atoms
Crystal system: orthorhombic
DOS(E_F): 0.99 states/eV per cell